VASP calculation (PBE) on a geometry-optimized BaTlCd2 structure.

Output
**ΔE_f**: -0.120 eV/atom

The structure in CIF format:
```
data_BaTlCd2
_space_group_name_H-M_alt 'A m m 2'
_space_group_IT_number 38
_cell_length_a 5.114
_cell_length_b 6.598
_cell_length_c 8.175
_cell_angle_alpha 90.00
_cell_angle_beta 90.00
_cell_angle_gamma 90.00
loop_
_space_group_symop_operation_xyz
'x,y,z'
'-x,-y,z'
'-x,y,z'
'x,-y,z'
'x,y+1/2,z+1/2'
'-x,-y+1/2,z+1/2'
'-x,y+1/2,z+1/2'
'x,-y+1/2,z+1/2'
loop_
_atom_site_label
_atom_site_type_symbol
_atom_site_fract_x
_atom_site_fract_y
_atom_site_fract_z
Ba1 Ba 0.000 0.000 0.000
Tl1 Tl 0.500 0.000 0.692
Cd1 Cd 0.000 0.000 0.480
Cd2 Cd 0.500 0.000 0.313
```